1.
Computed, not measured: PrSmY2 after structural relaxation at the PBE-GGA level of DFT.

The structure belongs to space group R-3m (No. 166, hexagonal axes); the cell edges are 3.5282, 3.5282 and 37.9010 Å and the angles 90.00°, 90.00° and 120.00°. Symmetry generates all atoms from Pr at (0.0000, 0.0000, 0.0000), Sm at (0.0000, 0.0000, 0.5000) and Y at (0.0000, 0.0000, 0.4109).

The density of states at the Fermi level is 2.1584 states/eV/atom. For the formation energy, the calculation gives 0.1940 eV/atom.

---

2.
Computed, not measured: Na2CaZnCl6 after structural relaxation at the PBE-GGA level of DFT.

The structure belongs to space group P4mm (No. 99); the cell edges are 7.1274, 7.1274 and 5.6786 Å and the angles 90.00°, 90.00° and 90.00°. Symmetry generates all atoms from Na at (0.0000, 0.5000, 0.0000), Ca at (0.0000, 0.0000, 0.6706), Zn at (0.5000, 0.5000, 0.6407), Cl at (0.0000, 0.0000, 0.2011), Cl at (0.2644, 0.2644, 0.7640) and Cl at (0.5000, 0.5000, 0.2495).

The energy relative to the elements, uncorrected is -1.671 eV/atom. The density of states at the Fermi level is 0.0000 states/eV/atom.

---

3.
Computed, not measured: CrSb2Cl after structural relaxation at the PBE-GGA level of DFT.

The structure belongs to space group Pmmm (No. 47); the cell edges are 3.3151, 5.0248 and 5.6382 Å and the angles 90.00°, 90.00° and 90.00°. Symmetry generates all atoms from Cr at (0.0000, 0.0000, 0.0000), Sb at (0.0000, 0.5000, 0.5000), Sb at (0.5000, 0.5000, 0.0000) and Cl at (0.5000, 0.0000, 0.5000).

The energy relative to the elements, uncorrected is 0.254 eV/atom. The density of states at the Fermi level is 0.6581 states/eV/atom.

---

4.
Computed, not measured: PuGa4PdRh2 after structural relaxation at the PBE-GGA level of DFT.

The structure belongs to space group R-3m (No. 166, hexagonal axes); the cell edges are 4.2785, 4.2785 and 25.9017 Å and the angles 90.00°, 90.00° and 120.00°. Symmetry generates all atoms from Pu at (0.0000, 0.0000, 0.0000), Ga at (0.0000, 0.0000, 0.1282), Ga at (0.0000, 0.0000, 0.3982), Pd at (0.0000, 0.0000, 0.5000) and Rh at (0.0000, 0.0000, 0.2318).

The density of states at the Fermi level is 1.5435 states/eV/atom. For the formation energy, the calculation gives -0.5476 eV/atom.

---

5.
Computed, not measured: Tb5Y2Er5 after structural relaxation at the PBE-GGA level of DFT.

The structure belongs to space group P-1 (No. 2); the cell edges are 5.1235, 5.9584 and 14.3652 Å and the angles 100.15°, 90.11° and 115.46°. Symmetry generates all atoms from Tb at (0.0000, 0.0000, 0.0000), Tb at (0.2184, 0.4363, 0.5758), Tb at (0.3432, 0.6849, 0.8300), Y at (0.3527, 0.7076, 0.2857), Er at (0.0555, 0.1129, 0.3176), Er at (0.3238, 0.6468, 0.0630) and Er at (0.5000, 0.0000, 0.5000).

The density of states at the Fermi level is 1.4800 states/eV/atom. For the formation energy, the calculation gives 0.1798 eV/atom.

---

6.
Computed, not measured: NaGaBr2 after structural relaxation at the PBE-GGA level of DFT.

The structure belongs to space group P4/mmm (No. 123); the cell edges are 5.3342, 5.3342 and 3.7801 Å and the angles 90.00°, 90.00° and 90.00°. Symmetry generates all atoms from Na at (0.0000, 0.0000, 0.0000), Ga at (0.5000, 0.5000, 0.0000) and Br at (0.0000, 0.5000, 0.5000).

The energy relative to the elements, uncorrected is -0.934 eV/atom. The density of states at the Fermi level is 0.0000 states/eV/atom.

---

7.
Computed, not measured: VSiAg3 after structural relaxation at the PBE-GGA level of DFT.

The structure belongs to space group Pm-3m (No. 221); the cell edges are 4.7292, 4.7292 and 4.7292 Å and the angles 90.00°, 90.00° and 90.00°. Symmetry generates all atoms from V at (0.0000, 0.0000, 0.0000), Si at (0.5000, 0.5000, 0.5000) and Ag at (0.0000, 0.5000, 0.5000).

The energy relative to the elements, uncorrected is 0.735 eV/atom. The density of states at the Fermi level is 1.1524 states/eV/atom.

---

8.
Computed, not measured: Np2As4RuRh3 after structural relaxation at the PBE-GGA level of DFT.

The structure belongs to space group P-4m2 (No. 115); the cell edges are 4.2455, 4.2455 and 9.9868 Å and the angles 90.00°, 90.00° and 90.00°. Symmetry generates all atoms from Np at (0.0000, 0.5000, 0.2470), As at (0.0000, 0.0000, 0.0000), As at (0.0000, 0.5000, 0.6344), As at (0.5000, 0.5000, 0.0000), Ru at (0.0000, 0.0000, 0.5000), Rh at (0.0000, 0.5000, 0.8756) and Rh at (0.5000, 0.5000, 0.5000).

The density of states at the Fermi level is 2.3881 states/eV/atom. For the formation energy, the calculation gives -0.5178 eV/atom.